# 1
Density functional theory data (PBE-GGA) for an optimized crystal structure of SmGa2SiTc2.

Output
SG: P4/mmm (123)
ΔE_f (raw) in eV per atom: -0.295
VASP energy in eV/atom: -6.4495
Spin magnetization in μB per cell: 0.0

Lattice parameters (Å, degrees): 4.5032 4.5032 5.6202 90.00 90.00 90.00
Sites, in units of the cell vectors:
1 Sm 0.0000 0.0000 0.5000
2 Ga 0.5000 0.5000 0.7360
3 Ga 0.5000 0.5000 0.2640
4 Si 0.0000 0.0000 0.0000
5 Tc 0.5000 0.0000 0.0000
6 Tc 0.0000 0.5000 0.0000



# 2
Density functional theory data (PBE-GGA) for an optimized crystal structure of ScAlCrIr.

Output
SG: F-43m (216)
VASP energy in eV/atom: -7.7190
Spin magnetization in μB per cell: 3.0
Formation enthalpy at 0 K in kJ/mol of formula units: -224

Lattice parameters (Å, degrees): 4.4419 4.4419 4.4419 60.00 60.00 60.00
Each line ends with the local moment (μB).
Sites, in units of the cell vectors:
1 Sc 0.2500 0.2500 0.2500  -0.02
2 Cr 0.5000 0.5000 0.5000  2.98
3 Ir 0.0000 0.0000 0.0000  -0.09
4 Al 0.7500 0.7500 0.7500  -0.04



# 3
Density functional theory data (PBE-GGA) for an optimized crystal structure of Nd8SiC3Cl4.

Output
SG: R-3m (166)
ΔE_f (raw) in eV per atom: -1.023
VASP energy in eV/atom: -5.9366
Spin magnetization in μB per cell: 0.0

Lattice parameters (Å, degrees): 7.8146 8.4547 7.8146 117.53 120.00 90.00
Sites, in units of the cell vectors:
1 Nd 0.2444 0.6995 0.9551
2 Nd 0.2444 0.6994 0.4888
3 Nd 0.2702 0.3104 0.5403
4 Nd 0.7107 0.6995 0.9551
5 Nd 0.2893 0.3005 0.0449
6 Nd 0.7298 0.6896 0.4597
7 Nd 0.7556 0.3006 0.5112
8 Nd 0.7556 0.3005 0.0449
9 Si 0.0000 0.5000 0.0000
10 C 0.5000 0.5000 0.0000
11 C 0.5000 0.5000 0.5000
12 C 0.0000 0.5000 0.5000
13 Cl 0.5000 0.0000 0.0000
14 Cl 0.5000 0.0000 0.5000
15 Cl 0.0000 0.0000 0.0000
16 Cl 0.0000 0.0000 0.5000



# 4
Density functional theory data (PBE-GGA) for an optimized crystal structure of Cs3BiH.

Output
SG: C2/m (12)
VASP energy in eV/atom: -2.1241
Spin magnetization in μB per cell: 0.0
Excess energy over the best structure of this formula in the dataset in eV per atom: 0.0534

Lattice parameters (Å, degrees): 8.4804 8.4827 8.6293 89.92 60.59 60.02
Sites, in units of the cell vectors:
1 Cs 0.3791 0.0007 0.4772
2 Cs 0.0477 0.6665 0.0018
3 Cs 0.5196 0.1958 0.0017
4 Cs 0.0474 0.1957 0.0018
5 Cs 0.3787 0.5298 0.4774
6 Cs 0.9071 0.0006 0.4773
7 Bi 0.8653 0.5217 0.5119
8 Bi 0.5609 0.6749 0.9674
9 H 0.0361 0.9368 0.7551
10 H 0.3902 0.2597 0.7240